Entry from Alexandria: an optimized crystal structure of RbIn2CuS4 (PBE).

Properties
* magnetic moment: 0.00 μB/f.u.
* formation energy from raw total energies: -0.55 eV/atom
* energy: -0.289 Ry/atom
* space-group type: Fmm2 (42)

Unit cell a=7.3933 b=7.3909 c=5.9925 alpha=66.11 beta=66.07 gamma=47.82
Fractional positions:
Rb  0.0000  0.0000  0.0000
In  0.2504  0.2504  0.2496
In  0.7504  0.7504  0.7496
Cu  0.5005  0.5005  0.4995
S  0.1642  0.5606  0.4394
S  0.4399  0.8368  0.5601
S  0.5606  0.1642  0.8358
S  0.8368  0.4399  0.1632


Entry from Alexandria: an optimized crystal structure of BaPdS (PBE).

Properties
* magnetic moment: 0.00 μB/f.u.
* formation energy from raw total energies: -1.03 eV/atom
* energy: -0.351 Ry/atom
* space-group type: P6_3/mmc (194)

Unit cell a=5.2702 b=5.2702 c=9.1424 alpha=90.00 beta=90.00 gamma=120.00
Fractional positions:
Ba  0.3333  0.6667  0.2500
Ba  0.6667  0.3333  0.7500
Pd  0.0000  0.0000  0.0000
Pd  0.0000  0.0000  0.5000
S  0.0000  0.0000  0.2500
S  0.0000  0.0000  0.7500


Entry from Alexandria: an optimized crystal structure of PrNd2Tl2Cd2 (PBE).

Properties
* magnetic moment: 0.00 μB/f.u.
* calculated formation energy: -0.20 eV/atom
* energy: -0.234 Ry/atom
* space-group type: R-3m (166)

Unit cell a=9.6030 b=9.6030 c=9.6030 alpha=30.53 beta=30.53 gamma=30.53
Fractional positions:
Pr  0.0000  0.0000  0.0000
Nd  0.1321  0.1321  0.1321
Nd  0.8679  0.8679  0.8679
Tl  0.2691  0.2691  0.2691
Tl  0.7309  0.7309  0.7309
Cd  0.4189  0.4189  0.4189
Cd  0.5811  0.5811  0.5811